i.
Computed, not measured: a relaxed structure of RbCd3Pt at the GGA-PBE level of DFT.

Output
V: 56.41 A^3/atom
magnetic moment: 0.00 μB per formula unit
SG: Cmcm

Geometry as POSCAR:
```
RbCd3Pt
1.0
4.0949 -13.3272 0.0000
4.0949 13.3272 0.0000
0.0000 0.0000 5.1683
Rb Pt Cd
2 2 6
direct
0.1354 0.8646 0.2500
0.8646 0.1354 0.7500
0.2552 0.7448 0.2500
0.7448 0.2552 0.7500
0.9142 0.4211 0.2500
0.5789 0.0858 0.2500
0.4211 0.9142 0.7500
0.0858 0.5789 0.7500
0.0000 0.0000 0.0000
0.0000 0.0000 0.5000
```


ii.
Computed, not measured: a relaxed structure of RbCd3Pt at the GGA-PBE level of DFT.

Output
V: 27.33 A^3/atom
magnetic moment: 0.00 μB per formula unit
SG: P2_1/c

Geometry as POSCAR:
```
RbCd3Pt
1.0
23.1562 0.0000 -2.7196
0.0000 5.2717 0.0000
-8.0356 0.0000 5.4211
Rb Pt Cd
4 4 12
direct
0.8597 0.7705 0.4442
0.1403 0.2295 0.5558
0.6403 0.2705 0.0558
0.3597 0.7295 0.9442
0.4420 0.8333 0.4607
0.5580 0.1667 0.5393
0.0580 0.3333 0.0393
0.9420 0.6667 0.9607
0.1860 0.7754 0.9471
0.8140 0.2246 0.0529
0.3140 0.2754 0.5529
0.6860 0.7246 0.4471
0.3639 0.3318 0.3016
0.6361 0.6682 0.6984
0.1361 0.8318 0.1984
0.8639 0.1682 0.8016
0.9245 0.7324 0.2050
0.0755 0.2676 0.7950
0.5755 0.2324 0.2950
0.4245 0.7676 0.7050
```


Need the numbers? Relative energies in eV/atom: i 0.208; ii 0.000.


i.
Computed, not measured: a relaxed structure of VRe2Au2 at the GGA-PBE level of DFT.

Output
V: 17.24 A^3/atom
magnetic moment: 0.00 μB per formula unit
SG: P4/mbm

Geometry as POSCAR:
```
VRe2Au2
1.0
7.9149 0.0000 0.0000
0.0000 7.9149 0.0000
0.0000 0.0000 2.7526
Re Au V
4 4 2
direct
0.1124 0.6124 0.5000
0.6124 0.8876 0.5000
0.8876 0.3876 0.5000
0.3876 0.1124 0.5000
0.3179 0.8179 0.0000
0.8179 0.6821 0.0000
0.6821 0.1821 0.0000
0.1821 0.3179 0.0000
0.0000 0.0000 0.0000
0.5000 0.5000 0.0000
```


ii.
Computed, not measured: a relaxed structure of VRe2Au2 at the GGA-PBE level of DFT.

Output
V: 17.83 A^3/atom
magnetic moment: 2.04 μB per formula unit
SG: I4/mmm

Geometry as POSCAR:
```
VRe2Au2
1.0
-0.7910 2.2357 2.6712
-2.8361 -2.0038 0.8373
2.1435 -3.6707 6.0954
Re Au V
2 2 1
direct
0.7500 0.2500 0.5000
0.2500 0.7500 0.5000
0.4047 0.4047 0.1906
0.5953 0.5953 0.8094
0.0000 0.0000 0.0000
```


Need the numbers? Relative energies in eV/atom: i 0.132; ii 0.000.


i.
Computed, not measured: a relaxed structure of KTaSb2 at the GGA-PBE level of DFT.

Output
V: 43.70 A^3/atom
magnetic moment: 0.00 μB per formula unit
SG: I-42d

Geometry as POSCAR:
```
KTaSb2
1.0
-3.7536 -2.3920 -6.1495
4.6259 -5.9991 -0.4900
-3.3237 -7.3836 0.2153
Sb K Ta
4 2 2
direct
0.7337 0.1250 0.2500
0.0163 0.6250 0.2500
0.3750 0.2663 0.7500
0.8750 0.9837 0.7500
0.5000 0.5000 0.0000
0.2500 0.7500 0.5000
0.0000 0.0000 0.0000
0.7500 0.2500 0.5000
```


ii.
Computed, not measured: a relaxed structure of KTaSb2 at the GGA-PBE level of DFT.

Output
V: 26.87 A^3/atom
magnetic moment: 0.44 μB per formula unit
SG: Amm2

Geometry as POSCAR:
```
KTaSb2
1.0
-3.7860 3.6168 -8.3448
-2.3122 1.0484 -9.5187
-2.4206 -2.2257 1.8306
K Sb Ta
1 2 1
direct
0.8059 0.8059 0.9871
0.9699 0.9699 0.8147
0.1593 0.1593 0.1934
0.5650 0.5650 0.5047
```


Need the numbers? Relative energies in eV/atom: i 0.248; ii 0.000.


i.
Computed, not measured: a relaxed structure of LaSm2C at the GGA-PBE level of DFT.

Output
V: 27.82 A^3/atom
magnetic moment: 0.13 μB per formula unit
SG: P-3m1

Geometry as POSCAR:
```
LaSm2C
1.0
-2.0521 2.9417 0.7769
-0.9602 -3.2995 1.2895
5.1966 1.5520 7.8494
La Sm C
1 2 1
direct
0.0000 0.0000 0.0000
0.6668 0.3335 0.3529
0.3332 0.6665 0.6471
0.0000 0.0000 0.5000
```


ii.
Computed, not measured: a relaxed structure of LaSm2C at the GGA-PBE level of DFT.

Output
V: 28.62 A^3/atom
magnetic moment: 0.36 μB per formula unit
SG: R-3m

Geometry as POSCAR:
```
LaSm2C
1.0
-0.3328 -0.9670 -3.4572
-3.1508 -1.2512 -1.2266
-3.9972 8.7323 -3.9375
C Sm La
1 2 1
direct
0.5000 0.5000 0.5000
0.1208 0.1208 0.6375
0.8792 0.8792 0.3625
0.0000 0.0000 0.0000
```


Need the numbers? Relative energies in eV/atom: i 0.000; ii 0.051.


i.
Computed, not measured: a relaxed structure of KFeCo at the GGA-PBE level of DFT.

Output
V: 26.11 A^3/atom
magnetic moment: 4.48 μB per formula unit
SG: P1

Geometry as POSCAR:
```
KFeCo
1.0
3.9266 -0.6263 0.1871
-1.4157 3.7081 -0.3614
0.3356 -1.0108 11.5553
K Co Fe
2 2 2
direct
0.8595 0.7007 0.8371
0.8535 0.3621 0.2010
0.8549 0.5384 0.5326
0.1876 0.1398 0.4103
0.1884 0.2428 0.6029
0.5212 0.8399 0.4726
```


ii.
Computed, not measured: a relaxed structure of KFeCo at the GGA-PBE level of DFT.

Output
V: 23.38 A^3/atom
magnetic moment: 4.75 μB per formula unit
SG: Pnma

Geometry as POSCAR:
```
KFeCo
1.0
-3.7317 -4.9049 5.6216
-0.5224 -2.1012 -2.1801
9.6118 -4.7287 2.2546
K Co Fe
4 4 4
direct
0.9504 0.2500 0.8329
0.5496 0.7500 0.3329
0.0496 0.7500 0.1671
0.4504 0.2500 0.6671
0.1851 0.2500 0.4253
0.3149 0.7500 0.9253
0.8149 0.7500 0.5747
0.6851 0.2500 0.0747
0.9081 0.2500 0.4372
0.5919 0.7500 0.9372
0.0919 0.7500 0.5628
0.4081 0.2500 0.0628
```


Need the numbers? Relative energies in eV/atom: i 0.000; ii 0.323.


i.
Computed, not measured: a relaxed structure of MgIrF at the GGA-PBE level of DFT.

Output
V: 15.54 A^3/atom
magnetic moment: 0.00 μB per formula unit
SG: P6_3/mmc

Geometry as POSCAR:
```
MgIrF
1.0
0.3381 3.8884 -0.4326
-1.9169 -2.1162 -2.6959
-5.9593 0.9101 3.5229
Mg Ir F
2 2 2
direct
0.0000 0.0000 0.0000
0.0000 0.0000 0.5000
0.3333 0.6667 0.7500
0.6667 0.3333 0.2500
0.3333 0.6667 0.2500
0.6667 0.3333 0.7500
```


ii.
Computed, not measured: a relaxed structure of MgIrF at the GGA-PBE level of DFT.

Output
V: 15.95 A^3/atom
magnetic moment: 1.56 μB per formula unit
SG: F-43m

Geometry as POSCAR:
```
MgIrF
1.0
0.3053 -3.1814 -2.5287
-1.1896 -3.6997 1.2270
-3.3621 -1.6845 -1.5708
Mg Ir F
1 1 1
direct
0.7500 0.7500 0.7500
0.2500 0.2500 0.2500
0.0000 0.0000 0.0000
```


Need the numbers? Relative energies in eV/atom: i 0.000; ii 0.083.


i.
Computed, not measured: a relaxed structure of ReTc2Ir at the GGA-PBE level of DFT.

Output
V: 14.65 A^3/atom
magnetic moment: 0.00 μB per formula unit
SG: P4/mmm

Geometry as POSCAR:
```
ReTc2Ir
1.0
-1.7831 2.0818 -0.0825
-0.6962 -0.4930 2.6062
5.5803 4.8752 2.4130
Ir Re Tc
1 1 2
direct
0.5000 0.5000 0.2500
0.5000 0.5000 0.7500
0.0000 0.0000 0.9992
0.0000 0.0000 0.5008
```


ii.
Computed, not measured: a relaxed structure of ReTc2Ir at the GGA-PBE level of DFT.

Output
V: 14.56 A^3/atom
magnetic moment: 0.00 μB per formula unit
SG: P2/c

Geometry as POSCAR:
```
ReTc2Ir
1.0
-1.0918 -0.1323 -4.6551
4.1570 -3.5845 -0.8732
-4.3648 -6.5614 6.1561
Re Tc Ir
4 8 4
direct
0.5425 0.0026 0.3744
0.4575 0.9974 0.6256
0.9575 0.0026 0.1256
0.0425 0.9974 0.8744
0.9588 0.4974 0.1256
0.0412 0.5026 0.8744
0.5412 0.4974 0.3744
0.4588 0.5026 0.6256
0.5504 0.7476 0.8770
0.4496 0.2524 0.1230
0.9496 0.7476 0.6230
0.0504 0.2524 0.3770
0.9546 0.2503 0.6257
0.0454 0.7497 0.3743
0.5454 0.2503 0.8743
0.4546 0.7497 0.1257
```


Need the numbers? Relative energies in eV/atom: i 0.129; ii 0.000.


i.
Computed, not measured: a relaxed structure of Pr2ThAu at the GGA-PBE level of DFT.

Output
V: 31.08 A^3/atom
magnetic moment: 0.00 μB per formula unit
SG: R-3m

Geometry as POSCAR:
```
Pr2ThAu
1.0
3.7256 0.0000 0.0000
1.8628 3.2264 0.0000
1.8628 1.0755 10.3416
Pr Au Th
2 1 1
direct
0.7401 0.7401 0.7797
0.2599 0.2599 0.2203
0.0000 0.0000 0.0000
0.5000 0.5000 0.5000
```


ii.
Computed, not measured: a relaxed structure of Pr2ThAu at the GGA-PBE level of DFT.

Output
V: 29.30 A^3/atom
magnetic moment: 0.00 μB per formula unit
SG: P4/mmm

Geometry as POSCAR:
```
Pr2ThAu
1.0
3.6106 0.0000 0.0000
0.0000 5.6970 0.0000
0.0000 0.0000 5.6970
Pr Au Th
2 1 1
direct
0.0000 0.0000 0.5000
0.0000 0.5000 0.0000
0.5000 0.0000 0.0000
0.5000 0.5000 0.5000
```


Need the numbers? Relative energies in eV/atom: i 0.000; ii 0.040.


i.
Computed, not measured: a relaxed structure of LaMoCl at the GGA-PBE level of DFT.

Output
V: 25.16 A^3/atom
magnetic moment: 2.83 μB per formula unit
SG: Fmm2

Geometry as POSCAR:
```
LaMoCl
1.0
-1.1595 6.8827 -1.8425
-4.1466 5.5654 -0.7792
1.1548 1.9780 2.5579
Cl La Mo
1 1 1
direct
0.9919 0.9919 0.0081
0.3319 0.3319 0.6681
0.6763 0.6763 0.3237
```


ii.
Computed, not measured: a relaxed structure of LaMoCl at the GGA-PBE level of DFT.

Output
V: 21.32 A^3/atom
magnetic moment: 0.00 μB per formula unit
SG: P3m1

Geometry as POSCAR:
```
LaMoCl
1.0
3.1658 0.0000 0.0000
-1.5829 2.7417 0.0000
0.0000 0.0000 7.3677
Cl La Mo
1 1 1
direct
0.0000 0.0000 0.9533
0.3333 0.6667 0.3340
0.6667 0.3333 0.7127
```


Need the numbers? Relative energies in eV/atom: i 0.000; ii 0.035.